(1)
Sm6ZnRh2, relaxed, DFT PBE-GGA; formation energy = -0.45 eV/atom
1.0
-4.7520 4.8717 5.2264
4.7520 -4.8717 5.2264
4.7520 4.8717 -5.2264
Sm Zn Rh
12 2 4
Direct
0.0447 0.2383 0.8064
0.1772 0.2818 0.4590
0.1772 0.7182 0.8954
0.3291 0.0225 0.6934
0.3291 0.6358 0.3066
0.4319 0.2383 0.1936
0.5681 0.7617 0.8064
0.6709 0.3642 0.6934
0.6709 0.9775 0.3066
0.8228 0.2818 0.1046
0.8228 0.7182 0.5410
0.9553 0.7617 0.1936
0.0000 0.0000 0.0000
0.5000 0.5000 0.0000
0.1313 0.6313 0.5000
0.3303 0.0000 0.3303
0.6697 0.0000 0.6697
0.8687 0.3687 0.5000

(2)
ScFe3P3, relaxed, DFT PBE-GGA; formation energy = -0.22 eV/atom
1.0
6.0403 0.0000 0.0000
0.0000 6.0403 0.0000
0.0000 0.0000 6.0403
Sc Fe P
2 6 6
Direct
0.0000 0.0000 0.0000
0.5000 0.5000 0.5000
0.0000 0.2500 0.5000
0.0000 0.7500 0.5000
0.2500 0.5000 0.0000
0.5000 0.0000 0.2500
0.5000 0.0000 0.7500
0.7500 0.5000 0.0000
0.0000 0.5000 0.2500
0.0000 0.5000 0.7500
0.2500 0.0000 0.5000
0.5000 0.2500 0.0000
0.5000 0.7500 0.0000
0.7500 0.0000 0.5000

(3)
KHg2W, relaxed, DFT PBE-GGA; formation energy = 0.70 eV/atom
1.0
2.8970 0.0000 0.0000
0.0000 4.2819 0.0000
0.0000 0.0000 7.7890
K Hg W
1 2 1
Direct
0.0000 0.0000 0.0000
0.5000 0.5000 0.3100
0.5000 0.5000 0.6900
0.0000 0.0000 0.5000

(4)
Ce2SbPtRh5, relaxed, DFT PBE-GGA; E_form (uncorrected) = -2.38 eV per formula unit
1.0
-4.1244 4.1244 5.2308
4.1244 -4.1244 5.2308
4.1244 4.1244 -5.2308
Ce Sb Pt Rh
4 2 2 10
Direct
0.1405 0.6405 0.7810
0.3595 0.1405 0.5000
0.6405 0.8595 0.5000
0.8595 0.3595 0.2190
0.2500 0.2500 0.0000
0.7500 0.7500 0.0000
0.2500 0.7500 0.5000
0.7500 0.2500 0.5000
0.0000 0.0000 0.0000
0.0625 0.1655 0.5000
0.1655 0.6655 0.1031
0.3345 0.4375 0.5000
0.4375 0.9375 0.1031
0.5000 0.5000 0.0000
0.5625 0.0625 0.8969
0.6655 0.5625 0.5000
0.8345 0.3345 0.8969
0.9375 0.8345 0.5000

(5)
Ho2Zn2Si3, relaxed, DFT PBE-GGA; E_form (uncorrected) = -3.35 eV per formula unit
1.0
2.0448 -9.1871 0.0000
2.0448 9.1871 0.0000
0.0000 0.0000 6.7847
Ho Zn Si
4 4 6
Direct
0.0493 0.9507 0.7500
0.1551 0.8449 0.2500
0.8449 0.1551 0.7500
0.9507 0.0493 0.2500
0.3206 0.6794 0.0624
0.3206 0.6794 0.4376
0.6794 0.3206 0.5624
0.6794 0.3206 0.9376
0.2197 0.7803 0.7500
0.4423 0.5577 0.5762
0.4423 0.5577 0.9238
0.5577 0.4423 0.0762
0.5577 0.4423 0.4238
0.7803 0.2197 0.2500

(6)
YSc3Te4, relaxed, DFT PBE-GGA; E_form (uncorrected) = -7.08 eV per formula unit
1.0
8.7669 0.0000 0.0000
0.0000 7.8154 0.0000
0.0000 0.0000 7.9022
Y Sc Te
2 6 8
Direct
0.0000 0.1167 0.0000
0.5000 0.8833 0.5000
0.0000 0.8392 0.3659
0.1963 0.7088 0.0033
0.3037 0.2912 0.5033
0.5000 0.1608 0.8659
0.6963 0.2912 0.5033
0.8037 0.7088 0.0033
0.0000 0.2055 0.3738
0.0000 0.8336 0.7413
0.2321 0.3663 0.8516
0.2679 0.6337 0.3516
0.5000 0.1664 0.2413
0.5000 0.7945 0.8738
0.7321 0.6337 0.3516
0.7679 0.3663 0.8516

(7)
BiMoS2Cl, relaxed, DFT PBE-GGA; E_form (uncorrected) = 0.02 eV per formula unit
1.0
4.7781 0.0000 0.0000
0.0000 4.7781 0.0000
0.0000 0.0000 4.8157
Bi Mo S Cl
1 1 2 1
Direct
0.0000 0.0000 0.0000
0.5000 0.5000 0.5000
0.0000 0.5000 0.5000
0.5000 0.0000 0.5000
0.5000 0.5000 0.0000

(8)
HoEr4Sc3, relaxed, DFT PBE-GGA; formation energy = 0.05 eV/atom
1.0
5.8923 0.0000 0.0000
-1.9849 5.5827 0.0000
-0.0042 -0.0108 6.8564
Ho Er Sc
1 4 3
Direct
0.0000 0.0000 0.0000
0.5003 0.0002 0.2527
0.4997 0.9998 0.7473
0.5000 0.5000 0.0000
0.5000 0.5000 0.5000
0.0000 0.0000 0.5000
0.0002 0.5002 0.2539
0.9998 0.4998 0.7461